(1)
Computed, not measured: an optimized crystal structure of MoBr3 at the GGA-PBE level of DFT.

Structure (POSCAR):
```
MoBr3
1.0
10.3412 3.8114 -0.5111
10.9834 0.7851 0.6911
10.6555 1.2359 -2.5808
Mo Br
1 3
Cartesian
15.9900 2.9162 -1.2004 Mo
0.0000 0.0000 0.0000 Br
28.4104 5.1814 -2.1329 Br
3.5697 0.6510 -0.2680 Br
```

Results
Raw total energy ... -15.82 eV for the cell shown
Symmetry ... No. 166



(2)
Computed, not measured: an optimized crystal structure of K2InF4 at the GGA-PBE level of DFT.

Structure (POSCAR):
```
K2InF4
1.0
3.4901 0.0000 0.0000
0.0000 7.1044 -0.2602
-1.7450 -3.7846 5.4286
K In F
2 1 4
Cartesian
1.7450 3.2495 1.4699 K
0.0000 0.0704 3.6985 K
0.0000 0.0000 0.0000 In
1.7450 -1.6065 4.9229 F
0.0000 4.9263 0.2456 F
1.7450 0.4337 1.5891 F
0.0000 2.8861 3.5793 F
```

Results
Symmetry ... No. 12
Energy above the lowest structure with this stoichiometry ... 9 meV per atom



(3)
Computed, not measured: an optimized crystal structure of CoMo2Pt at the GGA-PBE level of DFT.

Structure (POSCAR):
```
CoMo2Pt
1.0
3.8999 0.0000 0.0000
0.0000 2.7088 0.0174
0.0000 2.6928 5.4503
Mo Co Pt
2 1 1
Cartesian
0.0000 2.7024 5.3522 Mo
0.0000 2.6911 2.8319 Mo
1.9499 4.0512 4.1007 Co
1.9499 1.3504 1.3669 Pt
```

Results
Symmetry ... No. 10
Energy relative to the elements ... -0.133 eV per atom
Energy above the lowest structure with this stoichiometry ... 6 meV per atom



(4)
Computed, not measured: an optimized crystal structure of Ac2TbAl at the GGA-PBE level of DFT.

Structure (POSCAR):
```
Ac2TbAl
1.0
-1.8213 1.4721 -2.9179
-3.6077 0.9363 0.3255
1.4322 12.0286 2.7758
Ac Tb Al
2 1 1
Cartesian
0.4679 8.6896 1.6931 Ac
-4.4648 5.7474 -1.5097 Ac
0.0000 0.0000 0.0000 Tb
-1.9984 7.2185 0.0917 Al
```

Results
Symmetry ... No. 166
Energy relative to the elements ... 0.254 eV per atom
Energy above the lowest structure with this stoichiometry ... 308 meV per atom



(5)
Computed, not measured: an optimized crystal structure of LiFeIr2 at the GGA-PBE level of DFT.

Structure (POSCAR):
```
LiFeIr2
1.0
7.1269 0.0000 0.0000
0.0000 7.1269 0.0000
3.5635 3.5635 2.3876
Ir Fe Li
4 2 2
Cartesian
5.7894 1.7817 0.5969 Ir
1.3376 5.3452 0.5969 Ir
5.3452 4.9010 1.7907 Ir
8.9087 9.3528 1.7907 Ir
0.0000 0.0000 0.0000 Fe
7.1269 3.5635 1.1938 Fe
3.5635 3.5635 0.0000 Li
3.5635 7.1269 1.1938 Li
```

Results
Symmetry ... No. 122
Energy relative to the elements ... 0.465 eV per atom



(6)
Computed, not measured: an optimized crystal structure of Ce2NiIr3 at the GGA-PBE level of DFT.

Structure (POSCAR):
```
Ce2NiIr3
1.0
-3.1308 -1.6939 3.7827
1.4423 1.0311 4.8823
-2.7525 3.5880 2.5555
Ce Ni Ir
2 1 3
Cartesian
-1.6687 1.0992 4.2163 Ce
-2.7722 1.8260 7.0043 Ce
0.0000 0.0000 0.0000 Ni
-1.3762 1.7940 1.2777 Ir
-1.5654 -0.8470 1.8914 Ir
0.7212 0.5155 2.4412 Ir
```

Results
Symmetry ... No. 166
Energy relative to the elements ... -0.728 eV per atom
Energy above the lowest structure with this stoichiometry ... 0 meV per atom



(7)
Computed, not measured: an optimized crystal structure of PBrCl2O at the GGA-PBE level of DFT.

Structure (POSCAR):
```
PBrCl2O
1.0
-2.7169 -0.3032 5.3833
4.9826 -2.4447 2.3770
1.1265 3.0139 0.7383
P O Br Cl
1 1 1 2
Cartesian
0.5633 1.5069 0.3691 P
0.0000 0.0000 0.0000 O
1.6961 0.1330 4.2493 Br
2.4913 -1.2224 1.1885 Cl
-1.3585 -0.1516 2.6916 Cl
```

Results
Symmetry ... No. 123
Energy above the lowest structure with this stoichiometry ... 0 meV per atom



(8)
Computed, not measured: an optimized crystal structure of LaTi2NbO8 at the GGA-PBE level of DFT.

Structure (POSCAR):
```
LaTi2NbO8
1.0
-2.1901 2.1744 3.9106
-4.7804 -1.0418 -0.9373
-0.3511 -5.6750 3.9520
La Ti Nb O
1 2 1 8
Cartesian
-0.1756 -2.8375 1.9760 La
-3.2807 -3.6675 4.1862 Ti
-4.0408 -0.8749 2.7390 Ti
0.0000 0.0000 0.0000 Nb
-4.3065 -1.5742 0.9715 O
-5.1810 0.5209 2.4207 O
-2.8388 0.2520 3.7238 O
-3.0151 -2.9682 5.9538 O
-2.1406 -5.0632 4.5045 O
-4.4827 -4.7943 3.2014 O
-4.8552 -1.9826 3.9076 O
-2.4664 -2.5598 3.0177 O
```

Results
Raw total energy ... -105.84 eV for the cell shown
Symmetry ... No. 12



(9)
Computed, not measured: an optimized crystal structure of Cs2SbSBr6 at the GGA-PBE level of DFT.

Structure (POSCAR):
```
Cs2SbSBr6
1.0
-4.7494 -3.0941 -5.8464
-0.3867 -7.0552 4.0479
-6.9919 -3.3070 1.7591
Cs Sb S Br
2 1 1 6
Cartesian
-7.1547 -5.7378 -2.4933 Cs
-4.9733 -7.7184 2.4539 Cs
0.0000 0.0000 0.0000 Sb
-2.5680 -5.0746 -0.8992 S
-4.7231 -4.2135 0.3957 Br
-7.4049 -9.2427 -0.4351 Br
-1.2350 -2.4405 -0.4325 Br
-3.9011 -7.7088 -1.3660 Br
-3.7004 -4.0466 -3.4672 Br
-1.4357 -6.1027 1.6688 Br
```

Results
Raw total energy ... -28.39 eV for the cell shown
Symmetry ... No. 139



(10)
Computed, not measured: an optimized crystal structure of TaSI2N at the GGA-PBE level of DFT.

Structure (POSCAR):
```
TaSI2N
1.0
5.7475 0.0000 0.0000
0.0000 5.7475 0.0000
0.0000 0.0000 3.3722
I S N Ta
2 1 1 1
Cartesian
0.0000 2.8737 0.0000 I
2.8737 0.0000 0.0000 I
0.0000 0.0000 0.0000 S
0.0000 0.0000 1.6861 N
2.8737 2.8737 1.6861 Ta
```

Results
Symmetry ... No. 123
Energy above the lowest structure with this stoichiometry ... 915 meV per atom



Computed values of total moment (unit: μB per atom) for the preceding records, in sequence: 0.00, 0.00, 0.12, 0.16, 0.00, 0.00, 0.31, 0.00, 0.00, 0.45.